# 1
Na2Li2Pb | PBE | relaxed

Output
excess energy over the best structure of this formula in the dataset: 0.111 eV/atom
energy of formation: 12 meV per atom
N(E_F): 2.76 states/eV/cell
final energy: -20.23 eV/cell
SG: P4/mbm (127)

a = 8.4954 Å, b = 8.4954 Å, c = 3.5746 Å
α = 90.00°, β = 90.00°, γ = 90.00°
Closest atoms and distances in Å follow each position.
Fractional coordinates of all 10 atoms:
Pb  0.5000  0.5000  0.0000  4 Na 3.32, 2 Pb 3.57, 8 Li 3.62
Pb  0.0000  0.0000  0.0000  4 Na 3.32, 2 Pb 3.57, 8 Li 3.62
Na  0.8678  0.6322  0.0000  6 Li 2.95-3.16, 1 Na 3.18
Na  0.1322  0.3678  0.0000  6 Li 2.95-3.16, 1 Na 3.18
Na  0.3678  0.8678  0.0000  6 Li 2.95-3.16, 1 Na 3.18
Na  0.6322  0.1322  0.0000  6 Li 2.95-3.16, 1 Na 3.18
Li  0.3275  0.1725  0.5000  6 Na 2.95-3.16
Li  0.1725  0.6725  0.5000  6 Na 2.95-3.16
Li  0.8275  0.3275  0.5000  6 Na 2.95-3.16
Li  0.6725  0.8275  0.5000  6 Na 2.95-3.16

---

# 2
Sc8HN4O3 | PBE | relaxed

Output
N(E_F): 3.45 states/eV/cell
final energy: -137.15 eV/cell
SG: R-3m (166)

a = 6.3717 Å, b = 6.3746 Å, c = 6.3718 Å
α = 119.98°, β = 120.00°, γ = 90.00°
Closest atoms and distances in Å follow each position.
Fractional coordinates of all 16 atoms:
N  0.0000  0.0000  0.5000  6 Sc 2.21-2.23
N  0.5000  0.0000  0.0000  6 Sc 2.18
N  0.0000  0.0000  0.0000  6 Sc 2.21-2.23
N  0.5000  0.0000  0.5000  6 Sc 2.21-2.23
H  0.0000  0.5000  0.0000  6 Sc 2.33
Sc  0.2445  0.2336  0.4891  3 N 2.21, 3 O 2.30
Sc  0.7555  0.7664  0.5109  3 N 2.21, 3 O 2.30
Sc  0.7420  0.2367  0.4839  3 N 2.18-2.23, 2 O 2.28, 1 H 2.33
Sc  0.7473  0.7633  0.0053  3 N 2.18-2.23, 2 O 2.28, 1 H 2.33
Sc  0.2527  0.2367  0.9947  3 N 2.18-2.23, 2 O 2.28, 1 H 2.33
Sc  0.2580  0.7633  0.0053  3 N 2.18-2.23, 2 O 2.28, 1 H 2.33
Sc  0.7420  0.2367  0.9947  3 N 2.18-2.23, 2 O 2.28, 1 H 2.33
Sc  0.2580  0.7633  0.5161  3 N 2.18-2.23, 2 O 2.28, 1 H 2.33
O  0.0000  0.5000  0.5000  6 Sc 2.28-2.30
O  0.5000  0.5000  0.5000  6 Sc 2.28-2.30
O  0.5000  0.5000  0.0000  6 Sc 2.28-2.30

---

# 3
MgSiTe2 | PBE | relaxed

Output
excess energy over the best structure of this formula in the dataset: 0.407 eV/atom
N(E_F): 2.71 states/eV/cell
raw formation energy: 2.6 kcal/mol of atoms
final energy: -12.86 eV/cell
SG: P4/mmm (123)

a = 5.1039 Å, b = 5.1039 Å, c = 3.6795 Å
α = 90.00°, β = 90.00°, γ = 89.95°
Closest atoms and distances in Å follow each position.
Fractional coordinates of all 4 atoms:
Mg  0.5000  0.0000  0.5000  8 Te 3.15
Si  0.0000  0.5000  0.5000  8 Te 3.15
Te  0.0000  0.0000  0.0000  4 Mg 3.15, 4 Si 3.15
Te  0.5000  0.5000  0.0000  4 Si 3.15, 4 Mg 3.15

---

# 4
Tb6Nd2SmY | PBE | relaxed

Output
energy of formation: 113 meV per atom
N(E_F): 28.35 states/eV/cell
final energy: -94.74 eV/cell
SG: C2/c (15)

a = 9.7738 Å, b = 8.8427 Å, c = 8.8427 Å
α = 118.31°, β = 94.53°, γ = 94.53°
Closest atoms and distances in Å follow each position.
Fractional coordinates of all 20 atoms:
Y  0.2500  0.4070  0.5930  8 Tb 3.45-3.81, 2 Nd 3.58
Y  0.7500  0.5930  0.4070  8 Tb 3.45-3.81, 2 Nd 3.58
Tb  0.4434  0.2559  0.8769  8 Tb 3.42-3.81, 1 Nd 3.55, 1 Sm 3.68, 1 Y 3.81
Tb  0.1204  0.7070  0.4951  4 Tb 3.25-3.55, 3 Nd 3.29-3.48, 2 Y 3.45-3.60
Tb  0.6858  0.0217  0.5738  2 Tb 3.25-3.60, 1 Nd 3.42, 1 Y 3.49, 1 Sm 3.62
Tb  0.6204  0.4951  0.7070  4 Tb 3.25-3.55, 3 Nd 3.29-3.48, 2 Y 3.45-3.60
Tb  0.5566  0.7441  0.1231  8 Tb 3.42-3.81, 1 Nd 3.55, 1 Sm 3.68, 1 Y 3.81
Tb  0.8142  0.4262  0.9783  2 Tb 3.25-3.60, 1 Nd 3.42, 1 Y 3.49, 1 Sm 3.62
Tb  0.1858  0.5738  0.0217  2 Tb 3.25-3.60, 1 Nd 3.42, 1 Y 3.49, 1 Sm 3.62
Tb  0.8796  0.2930  0.5049  4 Tb 3.25-3.55, 3 Nd 3.29-3.48, 2 Y 3.45-3.60
Tb  0.9434  0.8769  0.2559  8 Tb 3.42-3.81, 1 Nd 3.55, 1 Sm 3.68, 1 Y 3.81
Tb  0.0566  0.1231  0.7441  8 Tb 3.42-3.81, 1 Nd 3.55, 1 Sm 3.68, 1 Y 3.81
Tb  0.3796  0.5049  0.2930  4 Tb 3.25-3.55, 3 Nd 3.29-3.48, 2 Y 3.45-3.60
Tb  0.3142  0.9783  0.4262  2 Tb 3.25-3.60, 1 Nd 3.42, 1 Y 3.49, 1 Sm 3.62
Nd  0.4582  0.8054  0.7028  5 Tb 3.29-3.55, 2 Sm 3.38-3.41, 1 Y 3.58
Nd  0.5418  0.1946  0.2972  5 Tb 3.29-3.55, 2 Sm 3.38-3.41, 1 Y 3.58
Nd  0.0418  0.2972  0.1946  5 Tb 3.29-3.55, 2 Sm 3.38-3.41, 1 Y 3.58
Nd  0.9582  0.7028  0.8054  5 Tb 3.29-3.55, 2 Sm 3.38-3.41, 1 Y 3.58
Sm  0.7500  0.0186  0.9814  4 Nd 3.38-3.41, 4 Tb 3.62-3.68
Sm  0.2500  0.9814  0.0186  4 Nd 3.38-3.41, 4 Tb 3.62-3.68

---

# 5
RbTi2GeOs | PBE | relaxed

Output
energy of formation: 2504 meV per atom
N(E_F): 7.63 states/eV/cell
final energy: -20.09 eV/cell
SG: P4/mmm (123)

a = 4.6629 Å, b = 4.7590 Å, c = 4.6629 Å
α = 90.00°, β = 90.00°, γ = 90.00°
Closest atoms and distances in Å follow each position.
Fractional coordinates of all 5 atoms:
Ti  0.5000  0.0000  0.0000  2 Rb 2.33
Ti  0.0000  0.0000  0.5000  2 Rb 2.33
Rb  0.0000  0.0000  0.0000  4 Ti 2.33, 2 Os 2.38
Os  0.0000  0.5000  0.0000  2 Rb 2.38
Ge  0.5000  0.5000  0.5000  4 Os 3.30, 8 Ti 3.33

---

# 6
Tm6Tl2N | PBE | relaxed

Output
excess energy over the best structure of this formula in the dataset: 0.000 eV/atom
N(E_F): 7.49 states/eV/cell
raw formation energy: -13.0 kcal/mol of atoms
final energy: -44.97 eV/cell
SG: Fm-3m (225)

a = 6.7600 Å, b = 6.7600 Å, c = 6.7604 Å
α = 60.00°, β = 60.00°, γ = 60.00°
Closest atoms and distances in Å follow each position.
Fractional coordinates of all 9 atoms:
Tl  0.7500  0.7500  0.7502  12 Tm 3.38
Tl  0.2500  0.2500  0.2498  12 Tm 3.38
Tm  0.2553  0.7451  0.2549  1 N 2.34
Tm  0.7450  0.7450  0.2555  1 N 2.34
Tm  0.2549  0.7447  0.7451  1 N 2.34
Tm  0.7451  0.2553  0.2549  1 N 2.34
Tm  0.2550  0.2550  0.7445  1 N 2.34
Tm  0.7447  0.2549  0.7451  1 N 2.34
N  0.5000  0.5000  0.5000  6 Tm 2.34

---

# 7
Sm8CdIr2 | PBE | relaxed

Output
energy of formation: -313 meV per atom
N(E_F): 13.59 states/eV/cell
final energy: -59.83 eV/cell
SG: C2/m (12)

a = 5.6184 Å, b = 8.0873 Å, c = 8.0873 Å
α = 113.92°, β = 97.18°, γ = 97.18°
Closest atoms and distances in Å follow each position.
Fractional coordinates of all 11 atoms:
Sm  0.0714  0.3288  0.0720  2 Ir 2.90-2.95
Sm  0.5000  0.7502  0.2498  2 Ir 2.91
Sm  0.9286  0.6712  0.9280  2 Ir 2.90-2.95
Sm  0.5000  0.2498  0.7502  2 Ir 2.91
Sm  0.3013  0.6110  0.6110  2 Ir 3.17, 4 Sm 3.29-3.50, 1 Cd 3.36
Sm  0.6987  0.3890  0.3890  2 Ir 3.17, 4 Sm 3.29-3.50, 1 Cd 3.36
Sm  0.9286  0.9280  0.6712  2 Ir 2.90-2.95
Sm  0.0714  0.0720  0.3288  2 Ir 2.90-2.95
Ir  0.0000  0.3054  0.6946  8 Sm 2.90-3.17
Ir  0.0000  0.6946  0.3054  8 Sm 2.90-3.17
Cd  0.5000  0.0000  0.0000  12 Sm 3.36-3.73

---

# 8
TcSeCl2 | PBE | relaxed

Output
excess energy over the best structure of this formula in the dataset: 0.507 eV/atom
N(E_F): 3.21 states/eV/cell
raw formation energy: 3.4 kcal/mol of atoms
final energy: -16.95 eV/cell
SG: P4mm (99)

a = 3.3641 Å, b = 3.3695 Å, c = 7.7876 Å
α = 90.00°, β = 90.00°, γ = 90.00°
Closest atoms and distances in Å follow each position.
Fractional coordinates of all 4 atoms:
Cl  0.5000  0.5000  0.3522  1 Tc 2.58, 4 Se 2.83
Cl  0.0000  0.0000  0.9156  1 Se 2.86, 4 Tc 2.99
Tc  0.5000  0.5000  0.6835  1 Cl 2.58, 4 Se 2.60
Se  0.0000  0.0000  0.5487  4 Tc 2.60, 5 Cl 2.83-2.86

---

# 9
MgMn2Tl | PBE | relaxed

Output
energy of formation: 678 meV per atom
N(E_F): 7.32 states/eV/cell
final energy: -39.18 eV/cell
SG: I-42d (122)

a = 7.5527 Å, b = 7.5527 Å, c = 6.0465 Å
α = 51.35°, β = 51.35°, γ = 90.00°
Closest atoms and distances in Å follow each position.
Fractional coordinates of all 8 atoms:
Mn  0.6281  0.1250  0.2500  2 Tl 2.75, 2 Mg 2.78, 2 Mn 2.84
Mn  0.3750  0.3719  0.7500  2 Tl 2.75, 2 Mg 2.78, 2 Mn 2.84
Mn  0.1219  0.6250  0.2500  2 Tl 2.75, 2 Mg 2.78, 2 Mn 2.84
Mn  0.8750  0.8781  0.7500  2 Tl 2.75, 2 Mg 2.78, 2 Mn 2.84
Tl  0.7500  0.2500  0.5000  4 Mn 2.75, 2 Mg 2.84
Tl  0.0000  0.0000  0.0000  4 Mn 2.75, 2 Mg 2.84
Mg  0.5000  0.5000  0.0000  4 Mn 2.78, 2 Tl 2.84
Mg  0.2500  0.7500  0.5000  4 Mn 2.78, 2 Tl 2.84

---

# 10
LaY2Sb | PBE | relaxed

Output
N(E_F): 14.49 states/eV/cell
raw formation energy: -5.3 kcal/mol of atoms
final energy: -45.78 eV/cell
SG: I-42d (122)

a = 9.1053 Å, b = 9.1053 Å, c = 7.2335 Å
α = 51.00°, β = 51.00°, γ = 90.00°
Closest atoms and distances in Å follow each position.
Fractional coordinates of all 8 atoms:
Y  0.8750  0.8245  0.7500  2 Sb 3.03
Y  0.3750  0.4255  0.7500  2 Sb 3.03
Y  0.5745  0.1250  0.2500  2 Sb 3.03
Y  0.1755  0.6250  0.2500  2 Sb 3.03
La  0.7500  0.2500  0.5000  2 Sb 3.30, 4 Y 3.65
La  0.0000  0.0000  0.0000  2 Sb 3.30, 4 Y 3.65
Sb  0.5000  0.5000  0.0000  4 Y 3.03, 2 La 3.30
Sb  0.2500  0.7500  0.5000  4 Y 3.03, 2 La 3.30